Pm3Zn9Ru2: relaxed, PBE-GGA.

Cell: 8.1552 8.1552 8.1552 Å, 148.82 110.45 78.17°
Element x y z (fractional)
1 Pm 0.0000 0.0000 0.0000
2 Pm 0.3065 0.3065 0.0000
3 Pm 0.6935 0.6935 0.0000
4 Zn 0.0160 0.6584 0.3576
5 Zn 0.1565 0.8770 0.2795
6 Zn 0.3008 0.6584 0.6424
7 Zn 0.4025 0.1230 0.2795
8 Zn 0.5000 0.0000 0.5000
9 Zn 0.5975 0.8770 0.7205
10 Zn 0.6992 0.3416 0.3576
11 Zn 0.8435 0.1230 0.7205
12 Zn 0.9840 0.3416 0.6424
13 Ru 0.3207 0.5000 0.8207
14 Ru 0.6793 0.5000 0.1793

Computed properties:
D(E_F)   10.97 states/eV/cell
Total DFT energy (no corrections)   -3.45 eV/atom
Space group   Immm (71)



Pm6ZnRu: relaxed, PBE-GGA.

Cell: 9.6421 9.6421 9.6421 Å, 149.48 149.48 43.70°
Element x y z (fractional)
1 Pm 0.0966 0.5966 0.5000
2 Pm 0.2475 0.2475 0.0000
3 Pm 0.4034 0.9034 0.5000
4 Pm 0.5966 0.0966 0.5000
5 Pm 0.7525 0.7525 0.0000
6 Pm 0.9034 0.4034 0.5000
7 Zn 0.0000 0.0000 0.0000
8 Ru 0.5000 0.5000 0.0000

Computed properties:
D(E_F)   7.12 states/eV/cell
Total DFT energy (no corrections)   -4.99 eV/atom
Space group   I4/mmm (139)



PmZn9Ru2: relaxed, PBE-GGA.

Cell: 8.6963 8.6963 8.6963 Å, 34.07 34.07 34.07°
Element x y z (fractional)
1 Pm 0.0000 0.0000 0.0000
2 Zn 0.0809 0.5948 0.5948
3 Zn 0.3337 0.3337 0.3337
4 Zn 0.4052 0.4052 0.9191
5 Zn 0.4052 0.9191 0.4052
6 Zn 0.5000 0.5000 0.5000
7 Zn 0.5948 0.0809 0.5948
8 Zn 0.5948 0.5948 0.0809
9 Zn 0.6663 0.6663 0.6663
10 Zn 0.9191 0.4052 0.4052
11 Ru 0.1431 0.1431 0.1431
12 Ru 0.8569 0.8569 0.8569

Computed properties:
D(E_F)   5.18 states/eV/cell
Total DFT energy (no corrections)   -2.99 eV/atom
Space group   R-3m (166)



Pm5ZnRu4: relaxed, PBE-GGA.

Cell: 3.5010 3.5010 17.9275 Å, 90.00 90.00 90.00°
Element x y z (fractional)
1 Pm 0.0000 0.0000 0.0000
2 Pm 0.0000 0.0000 0.1936
3 Pm 0.0000 0.0000 0.3879
4 Pm 0.0000 0.0000 0.6121
5 Pm 0.0000 0.0000 0.8064
6 Zn 0.5000 0.5000 0.5000
7 Ru 0.5000 0.5000 0.0980
8 Ru 0.5000 0.5000 0.2965
9 Ru 0.5000 0.5000 0.7035
10 Ru 0.5000 0.5000 0.9020

Computed properties:
D(E_F)   6.45 states/eV/cell
Total DFT energy (no corrections)   -6.40 eV/atom
Space group   P4/mmm (123)



PmZn2Ru: relaxed, PBE-GGA.

Cell: 4.6866 4.6866 4.6866 Å, 60.00 60.00 60.00°
Element x y z (fractional)
1 Pm 0.0000 0.0000 0.0000
2 Zn 0.2500 0.2500 0.2500
3 Zn 0.7500 0.7500 0.7500
4 Ru 0.5000 0.5000 0.5000

Computed properties:
D(E_F)   4.46 states/eV/cell
Total DFT energy (no corrections)   -4.21 eV/atom
Space group   Fm-3m (225)
Energy relative to the lowest polymorph listed for this composition   0.202 eV/atom



PmZn2Ru: relaxed, PBE-GGA.

Cell: 4.5047 6.7227 5.2692 Å, 90.00 109.45 90.00°
Element x y z (fractional)
1 Pm 0.0527 0.2500 0.1537
2 Pm 0.9473 0.7500 0.8463
3 Zn 0.4021 0.0569 0.7189
4 Zn 0.4021 0.4431 0.7189
5 Zn 0.5979 0.5569 0.2811
6 Zn 0.5979 0.9431 0.2811
7 Ru 0.1413 0.7500 0.3998
8 Ru 0.8587 0.2500 0.6002

Computed properties:
D(E_F)   5.27 states/eV/cell
Total DFT energy (no corrections)   -4.41 eV/atom
Space group   P2_1/m (11)
Energy relative to the lowest polymorph listed for this composition   0.000 eV/atom



Pm3ZnRu2: relaxed, PBE-GGA.

Cell: 3.5092 3.5092 10.9643 Å, 90.00 90.00 90.00°
Element x y z (fractional)
1 Pm 0.0000 0.0000 0.0000
2 Pm 0.0000 0.0000 0.3165
3 Pm 0.0000 0.0000 0.6835
4 Zn 0.5000 0.5000 0.5000
5 Ru 0.5000 0.5000 0.1652
6 Ru 0.5000 0.5000 0.8348

Computed properties:
D(E_F)   4.01 states/eV/cell
Total DFT energy (no corrections)   -5.91 eV/atom
Space group   P4/mmm (123)



PmZnRu: relaxed, PBE-GGA.

Cell: 7.0875 4.1228 8.1320 Å, 90.00 90.00 90.00°
Element x y z (fractional)
1 Pm 0.0252 0.2500 0.1848
2 Pm 0.4748 0.7500 0.6848
3 Pm 0.5252 0.2500 0.3152
4 Pm 0.9748 0.7500 0.8152
5 Zn 0.1461 0.2500 0.5639
6 Zn 0.3539 0.7500 0.0639
7 Zn 0.6461 0.2500 0.9361
8 Zn 0.8539 0.7500 0.4361
9 Ru 0.2298 0.7500 0.3763
10 Ru 0.2702 0.2500 0.8763
11 Ru 0.7298 0.7500 0.1237
12 Ru 0.7702 0.2500 0.6237

Computed properties:
D(E_F)   7.18 states/eV/cell
Total DFT energy (no corrections)   -5.36 eV/atom
Space group   Pnma (62)
Energy relative to the lowest polymorph listed for this composition   0.000 eV/atom